Density functional theory data (PBE-GGA) for a geometry-optimized Ho8Sn2Pd structure.

Results
Formation energy: -0.428 eV/atom

```
data_Ho8Sn2Pd
_cell_length_a 19.047
_cell_length_b 4.955
_cell_length_c 6.702
_cell_angle_alpha 90.00
_cell_angle_beta 103.38
_cell_angle_gamma 90.00
_symmetry_space_group_name_H-M 'C 1 2/m 1'
_symmetry_Int_Tables_number 12
loop_
_symmetry_equiv_pos_as_xyz
'x,y,z'
'-x,-y,-z'
'-x,y,-z'
'x,-y,z'
'x+1/2,y+1/2,z'
'-x+1/2,-y+1/2,-z'
'-x+1/2,y+1/2,-z'
'x+1/2,-y+1/2,z'
loop_
_atom_site_label
_atom_site_fract_x
_atom_site_fract_y
_atom_site_fract_z
_atom_site_occupancy
Ho1 0.018 0.000 0.276 1
Ho2 0.092 0.500 0.974 1
Ho3 0.148 0.500 0.504 1
Ho4 0.216 0.000 0.822 1
Sn1 0.183 0.000 0.263 1
Pd1 0.000 0.500 0.500 1
```



Density functional theory data (PBE-GGA) for a geometry-optimized POsS2O structure.

Results
Formation energy (no corrections): 539 kJ/mol of formula units
Polymorph energy (0 for the lowest one): 56 meV per atom

```
data_POsS2O
_cell_length_a 4.134
_cell_length_b 4.134
_cell_length_c 3.957
_cell_angle_alpha 90.00
_cell_angle_beta 90.00
_cell_angle_gamma 90.00
_symmetry_space_group_name_H-M 'P 4/m m m'
_symmetry_Int_Tables_number 123
_symmetry_space_group_name_Hall '-P 4 2'
loop_
_atom_site_label
_atom_site_fract_x
_atom_site_fract_y
_atom_site_fract_z
_atom_site_occupancy
P1 0.000 0.000 0.000 1
Os1 0.500 0.500 0.000 1
S1 0.000 0.500 0.500 1
O1 0.000 0.000 0.500 1
```



Density functional theory data (PBE-GGA) for a geometry-optimized Rb3H4 structure.

Results
E: -2.30 eV per atom

```
data_Rb3H4
_cell_length_a 4.224
_cell_length_b 4.224
_cell_length_c 20.369
_cell_angle_alpha 90.00
_cell_angle_beta 90.00
_cell_angle_gamma 90.00
_symmetry_space_group_name_H-M 'I 4/m m m'
_symmetry_Int_Tables_number 139
_symmetry_space_group_name_Hall '-I 4 2'
loop_
_atom_site_label
_atom_site_fract_x
_atom_site_fract_y
_atom_site_fract_z
_atom_site_occupancy
Rb1 0.000 0.000 0.000 1
Rb2 0.000 0.000 0.322 1
H1 0.000 0.000 0.170 1
H2 0.000 0.000 0.478 1
```



Density functional theory data (PBE-GGA) for a geometry-optimized GeH2W2 structure.

Results
Polymorph energy (0 for the lowest one): 555 meV per atom

```
data_GeH2W2
_cell_length_a 6.624
_cell_length_b 6.624
_cell_length_c 2.817
_cell_angle_alpha 90.00
_cell_angle_beta 90.00
_cell_angle_gamma 90.00
_symmetry_space_group_name_H-M 'P 4/m b m'
_symmetry_Int_Tables_number 127
_symmetry_space_group_name_Hall '-P 4 2ab'
loop_
_atom_site_label
_atom_site_fract_x
_atom_site_fract_y
_atom_site_fract_z
_atom_site_occupancy
Ge1 0.000 0.000 0.000 1
H1 0.099 0.401 0.500 1
W1 0.133 0.633 0.000 1
```



Density functional theory data (PBE-GGA) for a geometry-optimized NdYTh2N4 structure.

Results
Formation energy (no corrections): -1202 kJ/mol of formula units

```
data_NdYTh2N4
_cell_length_a 6.238
_cell_length_b 3.630
_cell_length_c 6.292
_cell_angle_alpha 90.00
_cell_angle_beta 109.57
_cell_angle_gamma 90.00
_symmetry_space_group_name_H-M 'P 1 2/m 1'
_symmetry_Int_Tables_number 10
loop_
_symmetry_equiv_pos_as_xyz
'x,y,z'
'-x,-y,-z'
'-x,y,-z'
'x,-y,z'
loop_
_atom_site_label
_atom_site_fract_x
_atom_site_fract_y
_atom_site_fract_z
_atom_site_occupancy
Nd1 0.000 0.000 0.000 1
Y1 0.000 0.500 0.500 1
Th1 0.500 0.000 0.500 1
Th2 0.500 0.500 0.000 1
N1 0.254 0.000 0.745 1
N2 0.259 0.500 0.259 1
```



Density functional theory data (PBE-GGA) for a geometry-optimized Sm3ZnCu4 structure.

Results
Formation energy: -0.053 eV/atom

```
data_Sm3ZnCu4
_cell_length_a 4.012
_cell_length_b 6.461
_cell_length_c 13.745
_cell_angle_alpha 90.00
_cell_angle_beta 90.00
_cell_angle_gamma 90.00
_symmetry_space_group_name_H-M 'I m m m'
_symmetry_Int_Tables_number 71
_symmetry_space_group_name_Hall '-I 2 2'
loop_
_atom_site_label
_atom_site_fract_x
_atom_site_fract_y
_atom_site_fract_z
_atom_site_occupancy
Sm1 0.000 0.000 0.000 1
Sm2 0.000 0.500 0.189 1
Zn1 0.000 0.000 0.500 1
Cu1 0.000 0.304 0.379 1
```



Density functional theory data (PBE-GGA) for a geometry-optimized TiFeAsSe2 structure.

Results
Formation energy (no corrections): 147 kJ/mol of formula units
Polymorph energy (0 for the lowest one): 0 meV per atom

```
data_TiFeAsSe2
_cell_length_a 4.779
_cell_length_b 4.779
_cell_length_c 4.451
_cell_angle_alpha 90.00
_cell_angle_beta 90.00
_cell_angle_gamma 90.00
_symmetry_space_group_name_H-M 'P 4/m m m'
_symmetry_Int_Tables_number 123
_symmetry_space_group_name_Hall '-P 4 2'
loop_
_atom_site_label
_atom_site_fract_x
_atom_site_fract_y
_atom_site_fract_z
_atom_site_occupancy
Ti1 0.000 0.000 0.000 1
Fe1 0.500 0.500 0.500 1
As1 0.500 0.500 0.000 1
Se1 0.000 0.500 0.500 1
```



Density functional theory data (PBE-GGA) for a geometry-optimized PrDyZnAg structure.

Results
Formation energy: -0.284 eV/atom
Polymorph energy (0 for the lowest one): 23 meV per atom

```
data_PrDyZnAg
_cell_length_a 7.364
_cell_length_b 7.364
_cell_length_c 7.364
_cell_angle_alpha 90.00
_cell_angle_beta 90.00
_cell_angle_gamma 90.00
_symmetry_space_group_name_H-M 'F -4 3 m'
_symmetry_Int_Tables_number 216
_symmetry_space_group_name_Hall 'F -4 2 3'
loop_
_atom_site_label
_atom_site_fract_x
_atom_site_fract_y
_atom_site_fract_z
_atom_site_occupancy
Pr1 0.000 0.000 0.000 1
Dy1 0.000 0.000 0.500 1
Zn1 0.250 0.250 0.250 1
Ag1 0.250 0.250 0.750 1
```